(one)
VASP calculation (GGA-PBE) on a relaxed CoPRhS2 crystal.

abc: 4.808 4.808 4.312
angles: 90.00 90.00 90.00
Fractional positions:
Co 0.000 0.000 0.000
P 0.500 0.500 0.000
Rh 0.500 0.500 0.500
S 0.000 0.500 0.500
S 0.500 0.000 0.500

Properties
Space-group type ... No. 123

(two)
VASP calculation (GGA-PBE) on a relaxed CoPRhS2 crystal.

abc: 4.416 4.416 4.142
angles: 90.00 90.00 90.00
Fractional positions:
Co 0.000 0.000 0.000
P 0.000 0.000 0.500
Rh 0.500 0.500 0.500
S 0.000 0.500 0.000
S 0.500 0.000 0.000

Properties
Space-group type ... No. 123

Which structure is the most stable? The one labeled (two).

(one)
VASP calculation (GGA-PBE) on a relaxed CoP2RhS crystal.

abc: 4.439 4.439 4.989
angles: 90.00 90.00 90.00
Fractional positions:
Co 0.000 0.000 0.000
P 0.000 0.500 0.500
P 0.500 0.000 0.500
Rh 0.500 0.500 0.500
S 0.500 0.500 0.000

Properties
Space-group type ... No. 123

(two)
VASP calculation (GGA-PBE) on a relaxed CoP2RhS crystal.

abc: 4.182 4.182 4.555
angles: 90.00 90.00 90.00
Fractional positions:
Co 0.000 0.000 0.000
P 0.000 0.500 0.000
P 0.500 0.000 0.000
Rh 0.500 0.500 0.500
S 0.000 0.000 0.500

Properties
Space-group type ... No. 123

Which structure is the most stable? The one labeled (two).

(one)
VASP calculation (GGA-PBE) on a relaxed CoPRu3 crystal.

abc: 4.387 4.387 4.387
angles: 90.00 90.00 90.00
Fractional positions:
Co 0.000 0.000 0.000
P 0.500 0.500 0.500
Ru 0.000 0.000 0.500
Ru 0.000 0.500 0.000
Ru 0.500 0.000 0.000

Properties
Space-group type ... No. 221

(two)
VASP calculation (GGA-PBE) on a relaxed CoPRu3 crystal.

abc: 4.281 4.281 4.281
angles: 90.00 90.00 90.00
Fractional positions:
Co 0.000 0.000 0.000
P 0.500 0.500 0.500
Ru 0.000 0.500 0.500
Ru 0.500 0.000 0.500
Ru 0.500 0.500 0.000

Properties
Space-group type ... No. 221

Which structure is the most stable? The one labeled (two).

(one)
VASP calculation (GGA-PBE) on a relaxed Co3PRu crystal.

abc: 4.432 4.432 4.432
angles: 90.00 90.00 90.00
Fractional positions:
Co 0.000 0.000 0.500
Co 0.000 0.500 0.000
Co 0.500 0.000 0.000
P 0.500 0.500 0.500
Ru 0.000 0.000 0.000

Properties
Space-group type ... No. 221

(two)
VASP calculation (GGA-PBE) on a relaxed Co3PRu crystal.

abc: 4.110 4.110 4.110
angles: 90.00 90.00 90.00
Fractional positions:
Co 0.000 0.000 0.500
Co 0.000 0.500 0.000
Co 0.500 0.000 0.000
P 0.000 0.000 0.000
Ru 0.500 0.500 0.500

Properties
Space-group type ... No. 221

Which structure is the most stable? The one labeled (two).

(one)
VASP calculation (GGA-PBE) on a relaxed CoP2S2 crystal.

abc: 4.477 4.477 4.418
angles: 90.00 90.00 90.00
Fractional positions:
Co 0.000 0.000 0.000
P 0.000 0.500 0.500
P 0.500 0.000 0.500
S 0.500 0.500 0.000
S 0.500 0.500 0.500

Properties
Space-group type ... No. 123

(two)
VASP calculation (GGA-PBE) on a relaxed CoP2S2 crystal.

abc: 4.454 4.454 4.420
angles: 90.00 90.00 90.00
Fractional positions:
Co 0.000 0.000 0.000
P 0.500 0.500 0.000
P 0.500 0.500 0.500
S 0.000 0.500 0.500
S 0.500 0.000 0.500

Properties
Space-group type ... No. 123

Which structure is the most stable? The one labeled (two).

(one)
VASP calculation (GGA-PBE) on a relaxed CoSbP2S crystal.

abc: 5.027 5.027 4.942
angles: 90.00 90.00 90.00
Fractional positions:
Co 0.000 0.000 0.000
Sb 0.500 0.500 0.500
P 0.000 0.500 0.500
P 0.500 0.000 0.500
S 0.500 0.500 0.000

Properties
Space-group type ... No. 123

(two)
VASP calculation (GGA-PBE) on a relaxed CoSbP2S crystal.

abc: 4.270 4.270 4.970
angles: 90.00 90.00 90.00
Fractional positions:
Co 0.000 0.000 0.000
Sb 0.500 0.500 0.500
P 0.000 0.500 0.000
P 0.500 0.000 0.000
S 0.000 0.000 0.500

Properties
Space-group type ... No. 123

Which structure is the most stable? The one labeled (two).

(one)
VASP calculation (GGA-PBE) on a relaxed CoSnPS2 crystal.

abc: 4.985 4.985 4.989
angles: 90.00 90.00 90.00
Fractional positions:
Co 0.000 0.000 0.000
Sn 0.500 0.500 0.500
P 0.500 0.500 0.000
S 0.000 0.500 0.500
S 0.500 0.000 0.500

Properties
Space-group type ... No. 123

(two)
VASP calculation (GGA-PBE) on a relaxed CoSnPS2 crystal.

abc: 4.799 4.799 4.110
angles: 90.00 90.00 90.00
Fractional positions:
Co 0.000 0.000 0.000
Sn 0.500 0.500 0.500
P 0.000 0.000 0.500
S 0.000 0.500 0.000
S 0.500 0.000 0.000

Properties
Space-group type ... No. 123

Which structure is the most stable? The one labeled (two).

(one)
VASP calculation (GGA-PBE) on a relaxed SrCoPS2 crystal.

abc: 4.885 4.885 4.117
angles: 90.00 90.00 90.00
Fractional positions:
Sr 0.000 0.000 0.000
Co 0.500 0.500 0.500
P 0.500 0.500 0.000
S 0.000 0.500 0.500
S 0.500 0.000 0.500

Properties
Space-group type ... No. 123

(two)
VASP calculation (GGA-PBE) on a relaxed SrCoPS2 crystal.

abc: 5.512 5.512 5.646
angles: 90.00 90.00 90.00
Fractional positions:
Sr 0.000 0.000 0.000
Co 0.500 0.500 0.500
P 0.000 0.000 0.500
S 0.000 0.500 0.000
S 0.500 0.000 0.000

Properties
Space-group type ... No. 123

Which structure is the most stable? The one labeled (one).

(one)
VASP calculation (GGA-PBE) on a relaxed CoTeP2S crystal.

abc: 4.290 4.290 4.903
angles: 90.00 90.00 90.00
Fractional positions:
Co 0.000 0.000 0.000
Te 0.500 0.500 0.500
P 0.000 0.500 0.000
P 0.500 0.000 0.000
S 0.000 0.000 0.500

Properties
Space-group type ... No. 123

(two)
VASP calculation (GGA-PBE) on a relaxed CoTeP2S crystal.

abc: 5.034 5.034 5.003
angles: 90.00 90.00 90.00
Fractional positions:
Co 0.000 0.000 0.000
Te 0.500 0.500 0.500
P 0.000 0.500 0.500
P 0.500 0.000 0.500
S 0.500 0.500 0.000

Properties
Space-group type ... No. 123

Which structure is the most stable? The one labeled (one).

(one)
VASP calculation (GGA-PBE) on a relaxed CoTePS2 crystal.

abc: 5.026 5.026 5.041
angles: 90.00 90.00 90.00
Fractional positions:
Co 0.000 0.000 0.000
Te 0.500 0.500 0.500
P 0.500 0.500 0.000
S 0.000 0.500 0.500
S 0.500 0.000 0.500

Properties
Space-group type ... No. 123

(two)
VASP calculation (GGA-PBE) on a relaxed CoTePS2 crystal.

abc: 4.577 4.577 4.264
angles: 90.00 90.00 90.00
Fractional positions:
Co 0.000 0.000 0.000
Te 0.500 0.500 0.500
P 0.000 0.000 0.500
S 0.000 0.500 0.000
S 0.500 0.000 0.000

Properties
Space-group type ... No. 123

Which structure is the most stable? The one labeled (two).

(one)
VASP calculation (GGA-PBE) on a relaxed TiCoPS2 crystal.

abc: 4.441 4.441 4.208
angles: 90.00 90.00 90.00
Fractional positions:
Ti 0.000 0.000 0.000
Co 0.500 0.500 0.500
P 0.500 0.500 0.000
S 0.000 0.500 0.500
S 0.500 0.000 0.500

Properties
Space-group type ... No. 123

(two)
VASP calculation (GGA-PBE) on a relaxed TiCoPS2 crystal.

abc: 4.628 4.628 4.740
angles: 90.00 90.00 90.00
Fractional positions:
Ti 0.000 0.000 0.000
Co 0.500 0.500 0.500
P 0.000 0.000 0.500
S 0.000 0.500 0.000
S 0.500 0.000 0.000

Properties
Space-group type ... No. 123

Which structure is the most stable? The one labeled (one).

(one)
VASP calculation (GGA-PBE) on a relaxed ZnCoPS2 crystal.

abc: 4.697 4.697 4.483
angles: 90.00 90.00 90.00
Fractional positions:
Zn 0.000 0.000 0.000
Co 0.500 0.500 0.500
P 0.000 0.000 0.500
S 0.000 0.500 0.000
S 0.500 0.000 0.000

Properties
Space-group type ... No. 123

(two)
VASP calculation (GGA-PBE) on a relaxed ZnCoPS2 crystal.

abc: 4.651 4.651 4.092
angles: 90.00 90.00 90.00
Fractional positions:
Zn 0.000 0.000 0.000
Co 0.500 0.500 0.500
P 0.500 0.500 0.000
S 0.000 0.500 0.500
S 0.500 0.000 0.500

Properties
Space-group type ... No. 123

Which structure is the most stable? The one labeled (two).